[1]
Density functional theory data (PBE) for an optimized crystal structure of BeGa2Si.

The structure belongs to space group I-42d (No. 122); the cell edges are 8.0066, 8.0066 and 4.2322 Å and the angles 90.00°, 90.00° and 90.00°. Symmetry generates all atoms from Be at (0.0000, 0.0000, 0.0000), Ga at (0.1527, 0.2500, 0.1250) and Si at (0.0000, 0.0000, 0.5000).

The value obtained for the total magnetic moment is 0.0000 μB per atom.

***

[2]
Density functional theory data (PBE) for an optimized crystal structure of BeGa2Si2.

The structure belongs to space group P4/mbm (No. 127); the cell edges are 5.9541, 5.9541 and 4.5826 Å and the angles 90.00°, 90.00° and 90.00°. Symmetry generates all atoms from Be at (0.0000, 0.0000, 0.0000), Ga at (0.1886, 0.3114, 0.5000) and Si at (0.1425, 0.6425, 0.0000).

The value obtained for the total magnetic moment is 0.0000 μB per atom.

***

For the records above, the corresponding formation energy (no corrections) values read 375; 330 meV per atom.